# 1
{"formula": "NpCdMoO6", "functional": "GGA+U", "state": "relaxed", "lattice": [[4.966, 0.000, 0.000], [0.000, 4.966, 0.000], [0.000, 0.000, 9.990]], "species": ["O", "O", "O", "O", "O", "O", "O", "O", "O", "O", "O", "O", "Np", "Np", "Mo", "Mo", "Cd", "Cd"], "frac_coords": [[0.205, 0.795, 0.819], [0.789, 0.211, 0.182], [0.705, 0.705, 0.319], [0.820, 0.180, 0.501], [0.711, 0.711, 0.682], [0.289, 0.289, 0.682], [0.795, 0.205, 0.819], [0.295, 0.295, 0.319], [0.680, 0.680, 0.001], [0.320, 0.320, 0.001], [0.180, 0.820, 0.501], [0.211, 0.789, 0.182], [0.500, 0.500, 0.831], [0.000, 0.000, 0.331], [0.500, 0.500, 0.163], [0.000, 0.000, 0.663], [0.000, 0.000, 0.000], [0.500, 0.500, 0.500]], "n_ef_per_ev_atom": 0.06, "total_energy_ev_per_atom": -7.6571}

***

# 2
{"formula": "Cd4Mo2O9", "functional": "GGA+U", "state": "relaxed", "lattice": [[5.563, 0.001, 0.011], [2.781, 4.983, 0.178], [-0.031, 0.367, 14.961]], "species": ["O", "O", "O", "O", "O", "O", "O", "O", "O", "O", "O", "O", "O", "O", "O", "O", "O", "O", "Cd", "Cd", "Cd", "Cd", "Cd", "Cd", "Cd", "Cd", "Mo", "Mo", "Mo", "Mo"], "frac_coords": [[0.231, 0.731, 0.752], [0.982, 0.692, 0.595], [0.286, 0.965, 0.907], [0.292, 0.000, 0.250], [0.018, 0.308, 0.405], [0.072, 0.291, 0.084], [0.037, 0.732, 0.252], [0.769, 0.269, 0.248], [0.636, 0.291, 0.584], [0.250, 0.035, 0.593], [0.364, 0.709, 0.416], [0.928, 0.709, 0.916], [0.674, 0.308, 0.905], [0.963, 0.268, 0.748], [0.326, 0.692, 0.095], [0.750, 0.965, 0.407], [0.714, 0.035, 0.093], [0.708, 0.000, 0.750], [0.305, 0.344, 0.696], [0.318, 0.329, 0.971], [0.682, 0.671, 0.029], [0.649, 0.656, 0.804], [0.647, 0.671, 0.529], [0.351, 0.344, 0.196], [0.353, 0.329, 0.471], [0.695, 0.656, 0.304], [0.024, 0.999, 0.148], [0.976, 0.001, 0.852], [0.023, 0.001, 0.352], [0.977, 0.999, 0.648]], "total_energy_ev_per_atom": -5.4814}

***

# 3
{"formula": "CdMo2O", "functional": "GGA+U", "state": "relaxed", "lattice": [[5.858, 0.000, 0.000], [0.000, 5.858, 0.000], [2.929, 2.929, 5.795]], "species": ["Cd", "Cd", "O", "O", "Mo", "Mo", "Mo", "Mo"], "frac_coords": [[0.000, 0.000, 0.000], [0.750, 0.250, 0.500], [0.500, 0.500, 0.000], [0.250, 0.750, 0.500], [0.875, 0.715, 0.750], [0.285, 0.625, 0.250], [0.375, 0.535, 0.750], [0.465, 0.125, 0.250]], "n_ef_per_ev_atom": 0.48, "total_energy_ev_per_atom": -4.6279}

***

# 4
{"formula": "Cd3Mo5O12", "functional": "GGA+U", "state": "relaxed", "lattice": [[-6.738, 2.735, -8.738], [-4.789, -8.386, 5.997], [1.430, 9.092, 6.673]], "species": ["Cd", "Cd", "Cd", "Cd", "Cd", "Cd", "Cd", "Cd", "Cd", "Cd", "Cd", "Cd", "O", "O", "O", "O", "O", "O", "O", "O", "O", "O", "O", "O", "O", "O", "O", "O", "O", "O", "O", "O", "O", "O", "O", "O", "O", "O", "O", "O", "O", "O", "O", "O", "O", "O", "O", "O", "O", "O", "O", "O", "O", "O", "O", "O", "O", "O", "O", "O", "Mo", "Mo", "Mo", "Mo", "Mo", "Mo", "Mo", "Mo", "Mo", "Mo", "Mo", "Mo", "Mo", "Mo", "Mo", "Mo", "Mo", "Mo", "Mo", "Mo"], "frac_coords": [[0.375, 0.625, 0.250], [0.875, 0.125, 0.250], [0.375, 0.750, 0.625], [0.875, 0.750, 0.125], [0.250, 0.625, 0.875], [0.750, 0.875, 0.625], [0.250, 0.125, 0.375], [0.125, 0.875, 0.750], [0.750, 0.375, 0.125], [0.625, 0.375, 0.750], [0.625, 0.250, 0.375], [0.125, 0.250, 0.875], [0.080, 0.901, 0.374], [0.599, 0.626, 0.420], [0.874, 0.294, 0.473], [0.420, 0.294, 0.321], [0.374, 0.973, 0.794], [0.473, 0.679, 0.099], [0.099, 0.179, 0.473], [0.126, 0.706, 0.527], [0.294, 0.420, 0.821], [0.027, 0.626, 0.706], [0.973, 0.374, 0.294], [0.473, 0.794, 0.874], [0.294, 0.874, 0.973], [0.794, 0.473, 0.374], [0.401, 0.374, 0.580], [0.626, 0.599, 0.920], [0.527, 0.321, 0.901], [0.179, 0.080, 0.706], [0.099, 0.920, 0.126], [0.874, 0.580, 0.901], [0.580, 0.706, 0.679], [0.794, 0.321, 0.920], [0.920, 0.099, 0.626], [0.321, 0.527, 0.401], [0.527, 0.206, 0.126], [0.626, 0.027, 0.206], [0.374, 0.401, 0.080], [0.901, 0.821, 0.527], [0.599, 0.973, 0.679], [0.206, 0.527, 0.626], [0.206, 0.679, 0.080], [0.973, 0.599, 0.179], [0.179, 0.099, 0.973], [0.821, 0.901, 0.027], [0.901, 0.080, 0.874], [0.706, 0.126, 0.027], [0.420, 0.126, 0.599], [0.580, 0.874, 0.401], [0.027, 0.401, 0.821], [0.080, 0.179, 0.206], [0.321, 0.794, 0.420], [0.821, 0.920, 0.294], [0.679, 0.473, 0.599], [0.920, 0.821, 0.794], [0.679, 0.206, 0.580], [0.706, 0.580, 0.179], [0.126, 0.420, 0.099], [0.401, 0.027, 0.321], [0.875, 0.625, 0.750], [0.000, 0.000, 0.000], [0.000, 0.000, 0.500], [0.500, 0.000, 0.000], [0.250, 0.875, 0.125], [0.500, 0.000, 0.500], [0.375, 0.250, 0.125], [0.750, 0.125, 0.875], [0.875, 0.250, 0.625], [0.125, 0.750, 0.375], [0.125, 0.375, 0.250], [0.375, 0.125, 0.750], [0.500, 0.500, 0.500], [0.625, 0.750, 0.875], [0.000, 0.500, 0.000], [0.000, 0.500, 0.500], [0.500, 0.500, 0.000], [0.625, 0.875, 0.250], [0.250, 0.375, 0.625], [0.750, 0.625, 0.375]], "n_ef_per_ev_atom": 0.05, "total_energy_ev_per_atom": -6.2070}

***

# 5
{"formula": "CdMoO4", "functional": "GGA+U", "state": "relaxed", "lattice": [[5.249, 0.000, 0.000], [0.000, 5.249, 0.000], [-2.625, -2.625, 5.710]], "species": ["O", "O", "O", "O", "O", "O", "O", "O", "Cd", "Cd", "Mo", "Mo"], "frac_coords": [[0.320, 0.420, 0.328], [0.007, 0.908, 0.328], [0.092, 0.680, 0.672], [0.743, 0.342, 0.172], [0.170, 0.257, 0.828], [0.658, 0.570, 0.828], [0.580, 0.993, 0.672], [0.430, 0.830, 0.172], [0.750, 0.250, 0.500], [0.000, 0.000, 0.000], [0.500, 0.500, 0.000], [0.250, 0.750, 0.500]], "n_ef_per_ev_atom": 0.00, "total_energy_ev_per_atom": -6.0882}

***

# 6
{"formula": "CdMo2O6", "functional": "GGA+U", "state": "relaxed", "lattice": [[4.870, 0.000, 0.000], [0.000, 4.596, -2.654], [0.000, 0.000, 5.307]], "species": ["O", "O", "O", "O", "O", "O", "Mo", "Mo", "Cd"], "frac_coords": [[0.719, 0.000, 0.363], [0.719, 0.637, 0.637], [0.281, 0.637, 0.000], [0.719, 0.363, 0.000], [0.281, 0.363, 0.363], [0.281, 0.000, 0.637], [0.500, 0.333, 0.667], [0.500, 0.667, 0.333], [0.000, 0.000, 0.000]], "total_energy_ev_per_atom": -6.4389}

***

# 7
{"formula": "CdMoO2", "functional": "GGA+U", "state": "relaxed", "lattice": [[2.242, 6.716, 0.549], [4.979, 5.031, 0.563], [3.542, 5.739, -2.223]], "species": ["Mo", "O", "O", "Cd"], "frac_coords": [[0.500, 0.500, 0.500], [0.116, 0.116, 0.116], [0.884, 0.884, 0.884], [0.000, 0.000, 0.000]], "n_ef_per_ev_atom": 0.49, "total_energy_ev_per_atom": -5.6536}

***

# 8
{"formula": "CdMo3O9", "functional": "GGA+U", "state": "relaxed", "lattice": [[7.223, 0.000, 3.039], [3.187, 7.670, 2.528], [0.040, 0.096, 10.006]], "species": ["O", "O", "O", "O", "O", "O", "O", "O", "O", "O", "O", "O", "O", "O", "O", "O", "O", "O", "Mo", "Mo", "Mo", "Mo", "Mo", "Mo", "Cd", "Cd"], "frac_coords": [[0.751, 0.067, 0.813], [0.003, 0.507, 0.496], [0.113, 0.545, 0.160], [0.887, 0.478, 0.818], [0.648, 0.775, 0.659], [0.521, 0.190, 0.595], [0.494, 0.797, 0.403], [0.306, 0.297, 0.903], [0.181, 0.045, 0.660], [0.918, 0.275, 0.159], [0.095, 0.719, 0.825], [0.994, 0.007, 0.996], [0.817, 0.978, 0.318], [0.242, 0.932, 0.189], [0.362, 0.219, 0.325], [0.369, 0.567, 0.313], [0.637, 0.432, 0.689], [0.693, 0.690, 0.095], [0.476, 0.746, 0.250], [0.988, 0.050, 0.167], [0.027, 0.947, 0.809], [0.527, 0.246, 0.750], [0.795, 0.550, 0.667], [0.216, 0.447, 0.309], [0.498, 0.004, 0.493], [0.004, 0.504, 0.993]], "total_energy_ev_per_atom": -6.5661}

***

# 9
{"formula": "CdMo2O", "functional": "GGA+U", "state": "relaxed", "lattice": [[2.473, -1.846, 3.161], [-1.080, -3.968, 1.615], [2.505, -3.519, -0.928]], "species": ["Mo", "Mo", "O", "Cd"], "frac_coords": [[0.250, 0.250, 0.250], [0.750, 0.750, 0.750], [0.000, 0.000, 0.000], [0.500, 0.500, 0.500]], "n_ef_per_ev_atom": 0.53, "total_energy_ev_per_atom": -3.4431}

***

# 10
{"formula": "CdMo4O8", "functional": "GGA+U", "state": "relaxed", "lattice": [[0.000, 4.605, 4.605], [4.605, 0.000, 4.605], [4.605, 4.605, 0.000]], "species": ["Mo", "Mo", "Mo", "Mo", "O", "O", "O", "O", "O", "O", "O", "O", "Cd"], "frac_coords": [[0.627, 0.627, 0.120], [0.120, 0.627, 0.627], [0.627, 0.627, 0.627], [0.627, 0.120, 0.627], [0.852, 0.852, 0.852], [0.392, 0.392, 0.392], [0.852, 0.852, 0.444], [0.852, 0.444, 0.852], [0.392, 0.825, 0.392], [0.444, 0.852, 0.852], [0.825, 0.392, 0.392], [0.392, 0.392, 0.825], [0.250, 0.250, 0.250]], "n_ef_per_ev_atom": 0.58, "total_energy_ev_per_atom": -6.7541}

***

# 11
{"formula": "CdMoO2", "functional": "GGA+U", "state": "relaxed", "lattice": [[7.116, -0.022, 0.000], [1.153, 7.022, 0.000], [-4.134, -3.500, 4.614]], "species": ["O", "O", "O", "O", "O", "O", "O", "O", "Mo", "Mo", "Mo", "Mo", "Cd", "Cd", "Cd", "Cd"], "frac_coords": [[0.135, 0.412, 0.723], [0.061, 0.838, 0.223], [0.162, 0.385, 0.223], [0.689, 0.412, 0.277], [0.615, 0.838, 0.777], [0.588, 0.865, 0.277], [0.162, 0.939, 0.777], [0.588, 0.311, 0.723], [0.875, 0.125, 0.250], [0.375, 0.125, 0.250], [0.875, 0.125, 0.750], [0.875, 0.625, 0.750], [0.875, 0.625, 0.250], [0.375, 0.125, 0.750], [0.375, 0.625, 0.750], [0.375, 0.625, 0.250]], "n_ef_per_ev_atom": 0.13, "total_energy_ev_per_atom": -5.3460}

***

# 12
{"formula": "Cd2MoO6", "functional": "GGA+U", "state": "relaxed", "lattice": [[-0.967, 3.715, -3.240], [-2.134, -3.292, -3.138], [-8.864, 1.541, 4.411]], "species": ["O", "O", "O", "O", "O", "O", "O", "O", "O", "O", "O", "O", "Cd", "Cd", "Cd", "Cd", "Mo", "Mo"], "frac_coords": [[0.316, 0.316, 0.358], [0.316, 0.316, 0.642], [0.684, 0.684, 0.642], [0.275, 0.275, 0.000], [0.725, 0.725, 0.000], [0.775, 0.225, 0.500], [0.225, 0.775, 0.500], [0.816, 0.184, 0.858], [0.184, 0.816, 0.142], [0.184, 0.816, 0.858], [0.684, 0.684, 0.358], [0.816, 0.184, 0.142], [0.000, 0.000, 0.335], [0.500, 0.500, 0.165], [0.500, 0.500, 0.835], [0.000, 0.000, 0.665], [0.000, 0.000, 0.000], [0.500, 0.500, 0.500]], "n_ef_per_ev_atom": 0.50, "total_energy_ev_per_atom": -5.2344}